Below is a geometry-optimized AcMn2ReO8 structure, with properties calculated at the GGA+U level.

a = 4.9613 Å, b = 4.9616 Å, c = 6.9897 Å
α = 80.98°, β = 80.87°, γ = 81.30°
Closest atoms and distances in Å follow each position.
Fractional positions:
Ac (0.0000, 0.0000, 0.0000)  6 O 2.49-2.51
Mn (0.4590, 0.4592, 0.2254)  5 O 1.91-2.07
Mn (0.5410, 0.5408, 0.7746)  5 O 1.91-2.07
Re (0.0000, 0.0000, 0.5000)  6 O 1.86-1.91
O (0.2046, 0.7968, 0.3015)  1 Re 1.91, 1 Mn 2.03
O (0.2073, 0.7998, 0.6972)  1 Re 1.91, 1 Mn 2.03
O (0.2499, 0.2559, 0.4386)  1 Re 1.86, 1 Mn 1.92
O (0.3333, 0.3387, 0.9875)  2 Mn 1.91-2.07
O (0.6667, 0.6613, 0.0125)  2 Mn 1.91-2.07
O (0.7501, 0.7441, 0.5614)  1 Re 1.86, 1 Mn 1.92
O (0.7927, 0.2002, 0.3028)  1 Re 1.91, 1 Mn 2.03
O (0.7954, 0.2032, 0.6985)  1 Re 1.91, 1 Mn 2.03

Properties
Theoretical density: 6.50 g/cm³
Uncorrected energy: -7.805 eV/atom
Size of the total moment: 0.67 μB per atom
SG: P-1 (2)